Below is a relaxed structure of SrSi3Te, with properties calculated at the PBE level.

The space group is Pm-3m (No. 221) and the conventional cell measures 5.5753, 5.5753 and 5.5753 Å, with angles of 90.00, 90.00 and 90.00 degrees. The asymmetric unit holds Sr at (0.0000, 0.0000, 0.0000), Si at (0.0000, 0.0000, 0.5000) and Te at (0.5000, 0.5000, 0.5000).

Its energy above the most stable polymorph in this dataset is 913 meV/atom. Its density is 2.87 g cm⁻³. The calculation puts the total magnetic moment at 0.0 μB/cell. The electronic total energy is -2.5703 eV/atom. The formation energy from raw total energies is 1.648 eV per atom.